An optimized crystal structure of Pm2HPd, computed with PBE.

a b c (Å): 6.719 6.719 6.719
angles (deg): 34.84 34.84 34.84
Sites, in units of the cell vectors:
Pm 0.242 0.242 0.242
Pm 0.758 0.758 0.758
H 0.500 0.500 0.500
Pd 0.000 0.000 0.000

## Properties
Offset from the most stable computed form (eV per atom): 0.173
DOS at the Fermi energy (states/eV per cell): 2.86
Space group: No. 166
Calculated total energy (eV per atom): -4.966